VASP calculation (GGA-PBEsol) on a relaxed structure of Zr7N4O8.

Cell lengths 6.1764, 6.1927, 6.2753 Å; angles 99.76, 99.33, 99.21 degrees
With the nearest neighbours (Å) after each atom.
Element x y z (fractional)
1 N 0.9383 0.3391 0.0686  4 Zr 2.10-2.34
2 N 0.0741 0.9226 0.3246  3 Zr 2.09-2.12
3 N 0.6717 0.9318 0.0633  4 Zr 2.07-2.30
4 N 0.5798 0.1781 0.4357  4 Zr 2.08-2.23
5 O 0.3238 0.0909 0.9237  3 Zr 2.11-2.19
6 O 0.0664 0.6909 0.8844  3 Zr 2.06-2.15
7 O 0.9146 0.0588 0.6807  3 Zr 2.07-2.15
8 O 0.1729 0.4139 0.5757  3 Zr 2.10-2.22
9 O 0.4249 0.5814 0.1813  4 Zr 2.12-2.30
10 O 0.8173 0.5674 0.4311  4 Zr 2.14-2.29
11 O 0.4278 0.8074 0.5797  4 Zr 2.07-2.29
12 O 0.5714 0.4360 0.8250  3 Zr 2.08-2.31
13 Zr 0.9962 0.0089 0.0129  3 N 2.07-2.12, 3 O 2.14-2.19
14 Zr 0.1351 0.5999 0.3189  2 N 2.09-2.11, 4 O 2.12-2.28
15 Zr 0.3104 0.1275 0.5946  2 N 2.08-2.12, 3 O 2.10-2.21
16 Zr 0.6162 0.2930 0.1429  3 N 2.10-2.30, 4 O 2.15-2.31
17 Zr 0.8561 0.3815 0.7028  5 O 2.07-2.22, 1 N 2.23
18 Zr 0.7049 0.8675 0.3830  2 N 2.09-2.18, 4 O 2.13-2.30
19 Zr 0.3981 0.7015 0.8705  4 O 2.06-2.19, 1 N 2.08

Output
raw total energy: -193.44 eV for the cell shown
symmetry: P1 (1)
M_tot: 0.0 μB/f.u.
formation energy from raw total energies: -2827 meV per atom
distance to the lowest polymorph of the same formula: 0.000 eV per formula unit

VASP calculation (GGA-PBEsol) on a relaxed structure of BaTcP3.

Cell lengths 4.7071, 4.7071, 4.7071 Å; angles 90.00, 90.00, 90.00 degrees
With the nearest neighbours (Å) after each atom.
Element x y z (fractional)
1 P 0.0000 0.5000 0.0000  2 Tc 2.35
2 P 0.0000 0.0000 0.5000  2 Tc 2.35
3 P 0.5000 0.0000 0.0000  2 Tc 2.35
4 Ba 0.5000 0.5000 0.5000  12 P 3.33
5 Tc 0.0000 0.0000 0.0000  6 P 2.35

Output
raw total energy: -31.94 eV for the cell shown
symmetry: Pm-3m (221)
M_tot: 0.0 μB/f.u.
energy of formation from the pure elements: -22.18 kJ/mol of atoms